# BeCrPCl2 | the Alexandria database | GGA-PBE | relaxed
# - M_tot: 3.00 Bohr magnetons per cell
# - E: -4.345 eV/atom
data_BeCrPCl2
_symmetry_space_group_name_H-M 'P 4/m m m'
_symmetry_Int_Tables_number 123
_symmetry_space_group_name_Hall '-P 4 2'
_cell_length_a 4.0341
_cell_length_b 4.0341
_cell_length_c 6.6173
_cell_angle_alpha 90.00
_cell_angle_beta 90.00
_cell_angle_gamma 90.00
loop_
_atom_site_label
_atom_site_type_symbol
_atom_site_fract_x
_atom_site_fract_y
_atom_site_fract_z
Be1 Be 0.0000 0.0000 0.0000
Cr1 Cr 0.5000 0.5000 0.5000
P1 P 0.0000 0.0000 0.5000
Cl1 Cl 0.0000 0.5000 0.0000